# 1
Compound: HfSnHgGe2
Source: Alexandria via LeMat-Bulk
Functional: GGA-PBE
Structure: optimized geometry

Structure (POSCAR):
```
HfSnHgGe2
1.0
-1.606 4.882 0.665
-5.208 -1.591 -0.897
-0.601 -0.888 5.070
Ge Hg Sn Hf
2 1 1 1
direct
0.500 0.000 0.000
0.000 0.000 0.500
0.500 0.500 0.500
0.000 0.000 0.000
0.000 0.500 0.000
```

Properties
Crystal system: tetragonal
DFT total energy (eV per atom): -3.723
ΔH_f (0 K) (kJ/mol of atoms): 94
Total magnetic moment (Bohr magnetons per cell): 0.00

=====

# 2
Compound: HfTlHgGe2
Source: Alexandria via LeMat-Bulk
Functional: GGA-PBE
Structure: optimized geometry

Structure (POSCAR):
```
HfTlHgGe2
1.0
-2.883 -2.853 3.251
3.760 0.933 4.153
-2.620 4.260 1.415
Hf Tl Ge Hg
1 1 2 1
direct
0.000 0.000 0.000
0.500 0.500 0.500
0.500 0.000 0.000
0.000 0.000 0.500
0.000 0.500 0.000
```

Properties
Crystal system: tetragonal
DFT total energy (eV per atom): -4.066
ΔH_f (0 K) (kJ/mol of atoms): 29
Total magnetic moment (Bohr magnetons per cell): 0.00

=====

# 3
Compound: HoHfGe2
Source: Alexandria via LeMat-Bulk
Functional: GGA-PBE
Structure: optimized geometry

Structure (POSCAR):
```
HoHfGe2
1.0
3.926 0.000 0.000
1.963 3.400 0.000
1.963 1.133 6.659
Ge Hf Ho
2 1 1
direct
0.744 0.744 0.769
0.256 0.256 0.231
0.000 0.000 0.000
0.500 0.500 0.500
```

Properties
Crystal system: trigonal
DFT total energy (eV per atom): -6.599
ΔH_f (0 K) (kJ/mol of atoms): -63
Total magnetic moment (Bohr magnetons per cell): 0.00

=====

# 4
Compound: Ho2HfGe3Pt4
Source: Alexandria via LeMat-Bulk
Functional: GGA-PBE
Structure: optimized geometry

Structure (POSCAR):
```
Ho2HfGe3Pt4
1.0
4.138 0.000 0.000
0.000 4.138 0.000
0.000 0.000 11.261
Ho Pt Ge Hf
2 4 3 1
direct
0.500 0.000 0.224
0.000 0.500 0.776
0.500 0.000 0.648
0.000 0.500 0.352
0.500 0.500 0.000
0.000 0.000 0.000
0.000 0.500 0.136
0.500 0.000 0.864
0.000 0.000 0.500
0.500 0.500 0.500
```

Properties
Crystal system: tetragonal
DFT total energy (eV per atom): -6.649
ΔH_f (0 K) (kJ/mol of atoms): -90
Total magnetic moment (Bohr magnetons per cell): 0.00

=====

# 5
Compound: HfGeI3
Source: Alexandria via LeMat-Bulk
Functional: GGA-PBE
Structure: optimized geometry

Structure (POSCAR):
```
HfGeI3
1.0
5.678 0.000 0.000
0.000 5.678 0.000
0.000 0.000 5.678
Hf I Ge
1 3 1
direct
0.000 0.000 0.000
0.000 0.000 0.500
0.500 0.000 0.000
0.000 0.500 0.000
0.500 0.500 0.500
```

Properties
Crystal system: cubic
E_form (uncorrected) (meV/atom): 200.2
DFT total energy (eV per atom): -3.644
Total magnetic moment (Bohr magnetons per cell): 2.43

=====

# 6
Compound: HfGeI2
Source: Alexandria via LeMat-Bulk
Functional: GGA-PBE
Structure: optimized geometry

Structure (POSCAR):
```
HfGeI2
1.0
0.000 3.643 3.643
3.643 0.000 3.643
3.643 3.643 0.000
Ge Hf I
1 1 2
direct
0.000 0.000 0.000
0.500 0.500 0.500
0.250 0.250 0.250
0.750 0.750 0.750
```

Properties
Crystal system: cubic
E_form (uncorrected) (meV/atom): 290.2
DFT total energy (eV per atom): -4.128
Total magnetic moment (Bohr magnetons per cell): 0.00

=====

# 7
Compound: HfGeI3
Source: Alexandria via LeMat-Bulk
Functional: GGA-PBE
Structure: optimized geometry

Structure (POSCAR):
```
HfGeI3
1.0
-2.515 -4.474 -2.569
4.342 -3.379 1.634
-2.786 -1.227 4.865
I Hf Ge
3 1 1
direct
0.000 0.000 0.500
0.000 0.500 0.000
0.500 0.000 0.000
0.500 0.500 0.500
0.000 0.000 0.000
```

Properties
Crystal system: cubic
E_form (uncorrected) (meV/atom): 722.0
DFT total energy (eV per atom): -3.122
Total magnetic moment (Bohr magnetons per cell): 0.12

=====

# 8
Compound: HfGeI2
Source: Alexandria via LeMat-Bulk
Functional: GGA-PBE
Structure: optimized geometry

Structure (POSCAR):
```
HfGeI2
1.0
10.486 0.000 0.000
0.000 10.486 0.000
5.243 5.243 2.658
Ge Hf I
2 2 4
direct
0.500 0.500 0.000
0.250 0.750 0.500
0.000 0.000 0.000
0.750 0.250 0.500
0.875 0.028 0.750
0.972 0.625 0.250
0.375 0.222 0.750
0.778 0.125 0.250
```

Properties
Crystal system: tetragonal
E_form (uncorrected) (meV/atom): -1.5
DFT total energy (eV per atom): -4.419
Total magnetic moment (Bohr magnetons per cell): 0.00

=====

# 9
Compound: HfGe2I
Source: Alexandria via LeMat-Bulk
Functional: GGA-PBE
Structure: optimized geometry

Structure (POSCAR):
```
HfGe2I
1.0
-3.631 -1.649 2.561
-0.374 -3.714 -2.921
4.228 -7.711 5.417
Hf Ge I
2 4 2
direct
0.000 0.000 0.000
0.750 0.250 0.500
0.789 0.125 0.250
0.375 0.211 0.750
0.961 0.625 0.250
0.875 0.039 0.750
0.250 0.750 0.500
0.500 0.500 0.000
```

Properties
Crystal system: tetragonal
E_form (uncorrected) (meV/atom): 368.0
DFT total energy (eV per atom): -4.817
Total magnetic moment (Bohr magnetons per cell): 0.00

=====

# 10
Compound: HfGe2I
Source: Alexandria via LeMat-Bulk
Functional: GGA-PBE
Structure: optimized geometry

Structure (POSCAR):
```
HfGe2I
1.0
0.000 3.553 3.553
3.553 0.000 3.553
3.553 3.553 0.000
Ge Hf I
2 1 1
direct
0.750 0.750 0.750
0.250 0.250 0.250
0.500 0.500 0.500
0.000 0.000 0.000
```

Properties
Crystal system: cubic
E_form (uncorrected) (meV/atom): 572.7
DFT total energy (eV per atom): -4.612
Total magnetic moment (Bohr magnetons per cell): 0.00

=====

# 11
Compound: Hf2Ge2I
Source: Alexandria via LeMat-Bulk
Functional: GGA-PBE
Structure: optimized geometry

Structure (POSCAR):
```
Hf2Ge2I
1.0
-7.337 -2.609 -1.046
2.418 -4.365 -6.070
0.630 -2.630 2.143
Hf Ge I
4 4 2
direct
0.662 0.162 0.000
0.838 0.662 0.000
0.162 0.338 0.000
0.338 0.838 0.000
0.127 0.627 0.500
0.373 0.127 0.500
0.627 0.873 0.500
0.873 0.373 0.500
0.000 0.000 0.000
0.500 0.500 0.000
```

Properties
Crystal system: tetragonal
E_form (uncorrected) (meV/atom): -280.7
DFT total energy (eV per atom): -6.419
Total magnetic moment (Bohr magnetons per cell): 0.00

=====

# 12
Compound: HfGe3I
Source: Alexandria via LeMat-Bulk
Functional: GGA-PBE
Structure: optimized geometry

Structure (POSCAR):
```
HfGe3I
1.0
-3.606 -3.799 -0.572
1.212 -1.870 4.775
-3.646 3.136 2.153
Ge I Hf
3 1 1
direct
0.000 0.000 0.500
0.000 0.500 0.000
0.500 0.000 0.000
0.000 0.000 0.000
0.500 0.500 0.500
```

Properties
Crystal system: cubic
E_form (uncorrected) (meV/atom): 1429.1
DFT total energy (eV per atom): -3.642
Total magnetic moment (Bohr magnetons per cell): 0.00

=====

# 13
Compound: HfGe3I
Source: Alexandria via LeMat-Bulk
Functional: GGA-PBE
Structure: optimized geometry

Structure (POSCAR):
```
HfGe3I
1.0
5.308 0.000 0.000
0.000 5.308 0.000
0.000 0.000 5.308
Ge I Hf
3 1 1
direct
0.500 0.000 0.000
0.000 0.500 0.000
0.000 0.000 0.500
0.500 0.500 0.500
0.000 0.000 0.000
```

Properties
Crystal system: cubic
E_form (uncorrected) (meV/atom): 481.2
DFT total energy (eV per atom): -4.590
Total magnetic moment (Bohr magnetons per cell): 0.00